## Ce5PuSi2Sn (PBE)

Data for a geometry-optimized Ce5PuSi2Sn structure.

```
data_Ce5PuSi2Sn
_chemical_formula_sum 'Ce20 Pu4 Si8 Sn4'
_cell_length_a 7.500
_cell_length_b 7.500
_cell_length_c 16.104
_cell_angle_alpha 90.00
_cell_angle_beta 90.00
_cell_angle_gamma 90.00
_symmetry_space_group_name_H-M 'I 4/m c m'
_symmetry_Int_Tables_number 140
_symmetry_space_group_name_Hall '-I 4 2c'
loop_
_atom_site_label
_atom_site_fract_x
_atom_site_fract_y
_atom_site_fract_z
_atom_site_occupancy
Ce1 0.000 0.000 0.000 1
Ce2 0.184 0.316 0.128 1
Pu1 0.000 0.500 0.250 1
Si1 0.115 0.385 0.500 1
Sn1 0.000 0.000 0.250 1
```

Values from the calculation:
**Energy relative to the elements, uncorrected**: -0.4266 eV/atom
**Mass density**: 8.21 g cm⁻³
**E**: -250.76 eV for the cell shown